Entry 1:
! CsYCdS3 | Alexandria | PBE | relaxed; values from VASP
&SYSTEM
  ibrav = 0, nat = 12, ntyp = 4
/
ATOMIC_SPECIES
Cs 132.91 Cs.upf
Y 88.91 Y.upf
Cd 112.41 Cd.upf
S 32.06 S.upf
CELL_PARAMETERS angstrom
9.245 0.000 0.000
0.000 4.172 0.000
-3.627 0.000 9.618
ATOMIC_POSITIONS crystal
Cs 0.222 0.250 0.240
Cs 0.778 0.750 0.760
Y 0.333 0.750 0.868
Y 0.667 0.250 0.132
Cd 0.085 0.250 0.615
Cd 0.915 0.750 0.385
S 0.129 0.250 0.869
S 0.212 0.750 0.553
S 0.476 0.750 0.145
S 0.524 0.250 0.855
S 0.788 0.250 0.447
S 0.871 0.750 0.131
! * SG: No. 11
! * formation energy from raw total energies: -1.416 eV per atom
! * crystal system: monoclinic
! * volume: 30.9 Å³/atom

---

Entry 2:
! LiTb3Pr4S8 | Alexandria | PBE | relaxed; values from VASP
&SYSTEM
  ibrav = 0, nat = 16, ntyp = 4
/
ATOMIC_SPECIES
Li 6.94 Li.upf
Tb 158.93 Tb.upf
Pr 140.91 Pr.upf
S 32.06 S.upf
CELL_PARAMETERS angstrom
3.985 2.301 6.608
-3.985 2.301 6.608
0.000 -4.602 6.608
ATOMIC_POSITIONS crystal
Li 0.000 0.000 0.000
Tb 0.000 0.500 0.500
Tb 0.500 0.000 0.500
Tb 0.500 0.500 0.000
Pr 0.000 0.000 0.500
Pr 0.000 0.500 0.000
Pr 0.500 0.000 0.000
Pr 0.500 0.500 0.500
S 0.241 0.241 0.748
S 0.241 0.748 0.241
S 0.252 0.759 0.759
S 0.255 0.255 0.255
S 0.745 0.745 0.745
S 0.748 0.241 0.241
S 0.759 0.252 0.759
S 0.759 0.759 0.252
! * SG: No. 166
! * formation energy from raw total energies: -1.968 eV per atom
! * crystal system: trigonal
! * volume: 22.7 Å³/atom

---

Entry 3:
! TePt2Br | Alexandria | PBE | relaxed; values from VASP
&SYSTEM
  ibrav = 0, nat = 4, ntyp = 3
/
ATOMIC_SPECIES
Te 127.60 Te.upf
Pt 195.08 Pt.upf
Br 79.90 Br.upf
CELL_PARAMETERS angstrom
4.923 0.000 0.000
0.000 3.987 0.000
-2.068 0.000 4.479
ATOMIC_POSITIONS crystal
Te 0.000 0.000 0.000
Pt 0.576 0.000 0.424
Pt 0.795 0.500 0.204
Br 0.334 0.500 0.666
! * SG: No. 6
! * formation energy from raw total energies: -0.060 eV per atom
! * energy relative to the lowest polymorph listed for this composition: 157 meV/atom
! * crystal system: monoclinic
! * volume: 22.0 Å³/atom

---

Entry 4:
! RbBeSi3 | Alexandria | PBE | relaxed; values from VASP
&SYSTEM
  ibrav = 0, nat = 5, ntyp = 3
/
ATOMIC_SPECIES
Rb 85.47 Rb.upf
Be 9.01 Be.upf
Si 28.09 Si.upf
CELL_PARAMETERS angstrom
4.674 0.000 0.000
0.000 4.674 0.000
0.000 0.000 4.674
ATOMIC_POSITIONS crystal
Rb 0.000 0.000 0.000
Be 0.500 0.500 0.500
Si 0.000 0.500 0.500
Si 0.500 0.000 0.500
Si 0.500 0.500 0.000
! * SG: No. 221
! * formation energy from raw total energies: 0.768 eV per atom
! * crystal system: cubic
! * volume: 20.4 Å³/atom

---

Entry 5:
! RuO2F | Alexandria | PBE | relaxed; values from VASP
&SYSTEM
  ibrav = 0, nat = 16, ntyp = 3
/
ATOMIC_SPECIES
Ru 101.07 Ru.upf
O 16.00 O.upf
F 19.00 F.upf
CELL_PARAMETERS angstrom
5.379 0.000 0.000
0.000 4.780 0.000
0.000 0.000 8.832
ATOMIC_POSITIONS crystal
Ru 0.250 0.000 0.076
Ru 0.250 0.500 0.424
Ru 0.750 0.000 0.924
Ru 0.750 0.500 0.576
O 0.058 0.205 0.940
O 0.058 0.295 0.560
O 0.442 0.705 0.560
O 0.442 0.795 0.940
O 0.558 0.205 0.060
O 0.558 0.295 0.440
O 0.942 0.705 0.440
O 0.942 0.795 0.060
F 0.118 0.250 0.250
F 0.382 0.750 0.250
F 0.618 0.250 0.750
F 0.882 0.750 0.750
! * SG: No. 52
! * formation energy from raw total energies: -1.039 eV per atom
! * energy relative to the lowest polymorph listed for this composition: 0 meV/atom
! * crystal system: orthorhombic
! * volume: 14.2 Å³/atom

---

Entry 6:
! Ag2Ru | Alexandria | PBE | relaxed; values from VASP
&SYSTEM
  ibrav = 0, nat = 3, ntyp = 2
/
ATOMIC_SPECIES
Ag 107.87 Ag.upf
Ru 101.07 Ru.upf
CELL_PARAMETERS angstrom
2.795 0.000 0.000
-1.398 2.421 0.000
0.000 0.000 7.258
ATOMIC_POSITIONS crystal
Ag 0.333 0.667 0.171
Ag 0.667 0.333 0.829
Ru 0.000 0.000 0.500
! * ΔE_f: 1.2 eV/f.u.
! * SG: No. 164
! * energy relative to the lowest polymorph listed for this composition: 47 meV/atom
! * crystal system: trigonal
! * volume: 16.4 Å³/atom

---

Entry 7:
! LiNi9W2 | Alexandria | PBE | relaxed; values from VASP
&SYSTEM
  ibrav = 0, nat = 12, ntyp = 3
/
ATOMIC_SPECIES
Li 6.94 Li.upf
Ni 58.69 Ni.upf
W 183.84 W.upf
CELL_PARAMETERS angstrom
3.615 0.000 0.000
0.000 3.615 0.000
0.000 0.000 10.724
ATOMIC_POSITIONS crystal
Li 0.000 0.000 0.000
Ni 0.000 0.500 0.164
Ni 0.000 0.500 0.500
Ni 0.000 0.500 0.836
Ni 0.500 0.000 0.164
Ni 0.500 0.000 0.500
Ni 0.500 0.000 0.836
Ni 0.500 0.500 0.000
Ni 0.500 0.500 0.335
Ni 0.500 0.500 0.665
W 0.000 0.000 0.322
W 0.000 0.000 0.678
! * ΔE_f: -0.5 eV/f.u.
! * SG: No. 123
! * crystal system: tetragonal
! * volume: 11.7 Å³/atom

---

Entry 8:
! Mn2GeN | Alexandria | PBE | relaxed; values from VASP
&SYSTEM
  ibrav = 0, nat = 4, ntyp = 3
/
ATOMIC_SPECIES
Mn 54.94 Mn.upf
Ge 72.64 Ge.upf
N 14.01 N.upf
CELL_PARAMETERS angstrom
2.809 0.000 0.000
-1.404 2.432 0.000
0.000 0.000 6.314
ATOMIC_POSITIONS crystal
Mn 0.000 0.000 0.188
Mn 0.000 0.000 0.812
Ge 0.333 0.667 0.500
N 0.667 0.333 0.000
! * SG: No. 187
! * formation energy from raw total energies: -0.120 eV per atom
! * crystal system: hexagonal
! * volume: 10.8 Å³/atom

---

Entry 9:
! Be2FeAs | Alexandria | PBE | relaxed; values from VASP
&SYSTEM
  ibrav = 0, nat = 8, ntyp = 3
/
ATOMIC_SPECIES
Be 9.01 Be.upf
Fe 55.84 Fe.upf
As 74.92 As.upf
CELL_PARAMETERS angstrom
-3.266 3.266 2.320
3.266 -3.266 2.320
3.266 3.266 -2.320
ATOMIC_POSITIONS crystal
Be 0.113 0.125 0.488
Be 0.375 0.887 0.012
Be 0.637 0.625 0.512
Be 0.875 0.363 0.988
Fe 0.250 0.750 0.500
Fe 0.500 0.500 0.000
As 0.000 0.000 0.000
As 0.750 0.250 0.500
! * ΔE_f: 1.8 eV/f.u.
! * SG: No. 122
! * energy relative to the lowest polymorph listed for this composition: 451 meV/atom
! * crystal system: tetragonal
! * volume: 12.4 Å³/atom

---

Entry 10:
! Ac3LaP4 | Alexandria | PBE | relaxed; values from VASP
&SYSTEM
  ibrav = 0, nat = 8, ntyp = 3
/
ATOMIC_SPECIES
Ac 227.00 Ac.upf
La 138.91 La.upf
P 30.97 P.upf
CELL_PARAMETERS angstrom
4.408 -6.232 0.000
4.408 6.232 0.000
0.000 0.000 4.410
ATOMIC_POSITIONS crystal
Ac 0.000 0.000 0.000
Ac 0.000 0.500 0.500
Ac 0.500 0.000 0.500
La 0.500 0.500 0.000
P 0.253 0.747 0.000
P 0.256 0.256 0.500
P 0.744 0.744 0.500
P 0.747 0.253 0.000
! * ΔE_f: -11.9 eV/f.u.
! * SG: No. 65
! * energy relative to the lowest polymorph listed for this composition: 0 meV/atom
! * crystal system: orthorhombic
! * volume: 30.3 Å³/atom

---

Entry 11:
! Dy2Ga5Co2Cu | Alexandria | PBE | relaxed; values from VASP
&SYSTEM
  ibrav = 0, nat = 20, ntyp = 4
/
ATOMIC_SPECIES
Dy 162.50 Dy.upf
Ga 69.72 Ga.upf
Co 58.93 Co.upf
Cu 63.55 Cu.upf
CELL_PARAMETERS angstrom
9.331 0.000 0.000
0.000 9.331 0.000
0.000 0.000 3.851
ATOMIC_POSITIONS crystal
Dy 0.184 0.316 0.000
Dy 0.316 0.816 0.000
Dy 0.684 0.184 0.000
Dy 0.816 0.684 0.000
Ga 0.000 0.500 0.500
Ga 0.058 0.795 0.500
Ga 0.205 0.058 0.500
Ga 0.295 0.558 0.500
Ga 0.442 0.295 0.500
Ga 0.500 0.000 0.500
Ga 0.558 0.705 0.500
Ga 0.705 0.442 0.500
Ga 0.795 0.942 0.500
Ga 0.942 0.205 0.500
Co 0.112 0.612 0.000
Co 0.388 0.112 0.000
Co 0.612 0.888 0.000
Co 0.888 0.388 0.000
Cu 0.000 0.000 0.000
Cu 0.500 0.500 0.000
! * ΔE_f: -3.8 eV/f.u.
! * SG: No. 127
! * crystal system: tetragonal
! * volume: 16.8 Å³/atom

---

Entry 12:
! Cs2U3PbSe8 | Alexandria | PBE | relaxed; values from VASP
&SYSTEM
  ibrav = 0, nat = 14, ntyp = 4
/
ATOMIC_SPECIES
Cs 132.91 Cs.upf
U 238.03 U.upf
Pb 207.20 Pb.upf
Se 78.96 Se.upf
CELL_PARAMETERS angstrom
4.245 2.451 8.796
-4.245 2.451 8.796
0.000 -4.902 8.796
ATOMIC_POSITIONS crystal
Cs 0.000 0.000 0.000
Cs 0.356 0.356 0.356
U 0.358 0.358 0.863
U 0.358 0.863 0.358
U 0.863 0.358 0.358
Pb 0.756 0.756 0.756
Se 0.094 0.094 0.557
Se 0.094 0.557 0.094
Se 0.134 0.134 0.134
Se 0.151 0.622 0.622
Se 0.557 0.094 0.094
Se 0.582 0.582 0.582
Se 0.622 0.151 0.622
Se 0.622 0.622 0.151
! * SG: No. 160
! * formation energy from raw total energies: -1.081 eV per atom
! * crystal system: trigonal
! * volume: 39.2 Å³/atom

---

Entry 13:
! YTl2Cl | Alexandria | PBE | relaxed; values from VASP
&SYSTEM
  ibrav = 0, nat = 4, ntyp = 3
/
ATOMIC_SPECIES
Y 88.91 Y.upf
Tl 204.38 Tl.upf
Cl 35.45 Cl.upf
CELL_PARAMETERS angstrom
3.458 0.000 0.000
0.000 5.299 0.000
0.000 0.000 5.909
ATOMIC_POSITIONS crystal
Y 0.000 0.000 0.000
Tl 0.000 0.500 0.500
Tl 0.500 0.000 0.500
Cl 0.500 0.500 0.000
! * SG: No. 47
! * formation energy from raw total energies: -0.535 eV per atom
! * energy relative to the lowest polymorph listed for this composition: 209 meV/atom
! * crystal system: orthorhombic
! * volume: 27.1 Å³/atom

---

Entry 14:
! Li2PtAu5 | Alexandria | PBE | relaxed; values from VASP
&SYSTEM
  ibrav = 0, nat = 8, ntyp = 3
/
ATOMIC_SPECIES
Li 6.94 Li.upf
Pt 195.08 Pt.upf
Au 196.97 Au.upf
CELL_PARAMETERS angstrom
-2.866 2.866 3.992
2.866 -2.866 3.992
2.866 2.866 -3.992
ATOMIC_POSITIONS crystal
Li 0.000 0.500 0.500
Li 0.500 0.000 0.500
Pt 0.000 0.000 0.000
Au 0.000 0.000 0.500
Au 0.000 0.500 0.000
Au 0.500 0.000 0.000
Au 0.500 0.500 0.000
Au 0.500 0.500 0.500
! * ΔE_f: -2.9 eV/f.u.
! * SG: No. 139
! * crystal system: tetragonal
! * volume: 16.4 Å³/atom

---

Entry 15:
! LaCe2NdN4 | Alexandria | PBE | relaxed; values from VASP
&SYSTEM
  ibrav = 0, nat = 8, ntyp = 4
/
ATOMIC_SPECIES
La 138.91 La.upf
Ce 140.12 Ce.upf
Nd 144.24 Nd.upf
N 14.01 N.upf
CELL_PARAMETERS angstrom
6.277 0.000 0.000
0.000 3.624 0.000
-2.090 0.000 5.931
ATOMIC_POSITIONS crystal
La 0.000 0.000 0.000
Ce 0.000 0.500 0.500
Ce 0.500 0.000 0.500
Nd 0.500 0.500 0.000
N 0.246 0.000 0.731
N 0.260 0.500 0.272
N 0.740 0.500 0.728
N 0.754 0.000 0.269
! * SG: No. 10
! * formation energy from raw total energies: -1.439 eV per atom
! * crystal system: monoclinic
! * volume: 16.9 Å³/atom

---

Entry 16:
! Ti3CuHg | Alexandria | PBE | relaxed; values from VASP
&SYSTEM
  ibrav = 0, nat = 5, ntyp = 3
/
ATOMIC_SPECIES
Ti 47.87 Ti.upf
Cu 63.55 Cu.upf
Hg 200.59 Hg.upf
CELL_PARAMETERS angstrom
4.610 0.000 0.000
0.000 4.610 0.000
0.000 0.000 4.610
ATOMIC_POSITIONS crystal
Ti 0.000 0.000 0.500
Ti 0.000 0.500 0.000
Ti 0.500 0.000 0.000
Cu 0.000 0.000 0.000
Hg 0.500 0.500 0.500
! * ΔE_f: 2.6 eV/f.u.
! * SG: No. 221
! * energy relative to the lowest polymorph listed for this composition: 0 meV/atom
! * crystal system: cubic
! * volume: 19.6 Å³/atom

---

Entry 17:
! Ta2H2Au | Alexandria | PBE | relaxed; values from VASP
&SYSTEM
  ibrav = 0, nat = 5, ntyp = 3
/
ATOMIC_SPECIES
Ta 180.95 Ta.upf
H 1.01 H.upf
Au 196.97 Au.upf
CELL_PARAMETERS angstrom
-1.798 1.798 4.552
1.798 -1.798 4.552
1.798 1.798 -4.552
ATOMIC_POSITIONS crystal
Ta 0.163 0.163 0.000
Ta 0.837 0.837 0.000
H 0.250 0.750 0.500
H 0.750 0.250 0.500
Au 0.500 0.500 0.000
! * SG: No. 139
! * crystal system: tetragonal
! * volume: 11.8 Å³/atom

---

Entry 18:
! Ba3Pd2Br | Alexandria | PBE | relaxed; values from VASP
&SYSTEM
  ibrav = 0, nat = 12, ntyp = 3
/
ATOMIC_SPECIES
Ba 137.33 Ba.upf
Pd 106.42 Pd.upf
Br 79.90 Br.upf
CELL_PARAMETERS angstrom
2.501 -8.313 0.000
2.501 8.313 0.000
0.000 0.000 11.163
ATOMIC_POSITIONS crystal
Ba 0.109 0.891 0.750
Ba 0.384 0.616 0.558
Ba 0.384 0.616 0.942
Ba 0.616 0.384 0.058
Ba 0.616 0.384 0.442
Ba 0.891 0.109 0.250
Pd 0.000 0.000 0.000
Pd 0.000 0.000 0.500
Pd 0.486 0.514 0.250
Pd 0.514 0.486 0.750
Br 0.229 0.771 0.250
Br 0.771 0.229 0.750
! * SG: No. 63
! * formation energy from raw total energies: -0.718 eV per atom
! * crystal system: orthorhombic
! * volume: 38.7 Å³/atom

---

Entry 19:
! MnCd2Br | Alexandria | PBE | relaxed; values from VASP
&SYSTEM
  ibrav = 0, nat = 8, ntyp = 3
/
ATOMIC_SPECIES
Mn 54.94 Mn.upf
Cd 112.41 Cd.upf
Br 79.90 Br.upf
CELL_PARAMETERS angstrom
-4.199 4.199 2.879
4.199 -4.199 2.879
4.199 4.199 -2.879
ATOMIC_POSITIONS crystal
Mn 0.000 0.000 0.000
Mn 0.750 0.250 0.500
Cd 0.096 0.125 0.471
Cd 0.375 0.904 0.029
Cd 0.654 0.625 0.529
Cd 0.875 0.346 0.971
Br 0.250 0.750 0.500
Br 0.500 0.500 0.000
! * SG: No. 122
! * formation energy from raw total energies: 0.205 eV per atom
! * energy relative to the lowest polymorph listed for this composition: 192 meV/atom
! * crystal system: tetragonal
! * volume: 25.4 Å³/atom

---

Entry 20:
! Li2B2F | Alexandria | PBE | relaxed; values from VASP
&SYSTEM
  ibrav = 0, nat = 5, ntyp = 3
/
ATOMIC_SPECIES
Li 6.94 Li.upf
B 10.81 B.upf
F 19.00 F.upf
CELL_PARAMETERS angstrom
-1.302 1.302 6.513
1.302 -1.302 6.513
1.302 1.302 -6.513
ATOMIC_POSITIONS crystal
Li 0.093 0.093 0.000
Li 0.907 0.907 0.000
B 0.250 0.750 0.500
B 0.750 0.250 0.500
F 0.500 0.500 0.000
! * SG: No. 139
! * formation energy from raw total energies: -0.638 eV per atom
! * energy relative to the lowest polymorph listed for this composition: 0 meV/atom
! * crystal system: tetragonal
! * volume: 8.8 Å³/atom

---

| no. | calculated total energy (eV/atom) |
| --- | --- |
| 1 | -4.852 |
| 2 | -6.214 |
| 3 | -4.284 |
| 4 | -3.424 |
| 5 | -6.305 |
| 6 | -4.591 |
| 7 | -6.695 |
| 8 | -7.941 |
| 9 | -4.684 |
| 10 | -6.349 |
| 11 | -4.644 |
| 12 | -5.877 |
| 13 | -3.796 |
| 14 | -3.646 |
| 15 | -8.297 |
| 16 | -5.100 |
| 17 | -6.786 |
| 18 | -3.689 |
| 19 | -2.963 |
| 20 | -4.448 |